Here is a relaxed LiNdGaHg crystal from Alexandria. Energies are from PBE-GGA.

## Properties
E_form = -0.4483 eV/atom
crystal system = cubic
DFT total energy = -2.95 eV/atom
space-group type = F-43m

Cell: 7.1387 7.1387 7.1387 Å, 90.00 90.00 90.00°
Sites, in units of the cell vectors:
Li1 0.0000 0.0000 0.0000
Li2 0.0000 0.5000 0.5000
Li3 0.5000 0.0000 0.5000
Li4 0.5000 0.5000 0.0000
Nd1 0.0000 0.0000 0.5000
Nd2 0.0000 0.5000 0.0000
Nd3 0.5000 0.0000 0.0000
Nd4 0.5000 0.5000 0.5000
Ga1 0.2500 0.2500 0.2500
Ga2 0.2500 0.7500 0.7500
Ga3 0.7500 0.2500 0.7500
Ga4 0.7500 0.7500 0.2500
Hg1 0.2500 0.2500 0.7500
Hg2 0.2500 0.7500 0.2500
Hg3 0.7500 0.2500 0.2500
Hg4 0.7500 0.7500 0.7500

Here is a relaxed LaTi2Be2 crystal from Alexandria. Energies are from PBE-GGA.

## Properties
distance to the lowest polymorph of the same formula = 0 meV/atom
E_form = 0.1813 eV/atom
crystal system = tetragonal
DFT total energy = -5.45 eV/atom
space-group type = P4/mbm

Cell: 7.6815 7.6815 2.8034 Å, 90.00 90.00 90.00°
Sites, in units of the cell vectors:
La1 0.0000 0.0000 0.0000
La2 0.5000 0.5000 0.0000
Ti1 0.1223 0.3777 0.0000
Ti2 0.3777 0.8777 0.0000
Ti3 0.6223 0.1223 0.0000
Ti4 0.8777 0.6223 0.0000
Be1 0.1682 0.6682 0.5000
Be2 0.3318 0.1682 0.5000
Be3 0.6682 0.8318 0.5000
Be4 0.8318 0.3318 0.5000

Here is a relaxed Li2CaCr crystal from Alexandria. Energies are from PBE-GGA.

## Properties
distance to the lowest polymorph of the same formula = 0 meV/atom
E_form = 0.4027 eV/atom
crystal system = monoclinic
DFT total energy = -3.46 eV/atom
space-group type = Pm

Cell: 3.5708 3.5039 7.5483 Å, 90.00 90.20 90.00°
Sites, in units of the cell vectors:
Li1 0.0000 0.0000 0.0000
Li2 0.4986 0.5000 0.2076
Ca1 0.4998 0.5000 0.6789
Cr1 0.9994 0.0000 0.3994